## A
First-principles (GGA-PBE) data for a geometry-optimized NaPHO2 structure, as listed in Alexandria.

Lattice parameters (Å, degrees): 4.0767 4.0767 2.9284 90.00 90.00 90.00
Space group P4/mmm (No. 123)
Inequivalent atoms, fractional coordinates:
Na (0.0000, 0.0000, 0.0000)
P (0.5000, 0.5000, 0.0000)
H (0.5000, 0.5000, 0.5000)
O (0.0000, 0.5000, 0.5000)

Output
Fermi-level density of states   0.472 states/eV/atom
Magnetization   0.3 μB per formula unit
Calculated density   2.97 Mg/m³

=====

## B
First-principles (GGA-PBE) data for a geometry-optimized NaPHO2 structure, as listed in Alexandria.

Lattice parameters (Å, degrees): 4.2313 4.2313 5.5821 90.00 90.00 90.00
Space group P4/mmm (No. 123)
Inequivalent atoms, fractional coordinates:
Na (0.0000, 0.0000, 0.0000)
P (0.0000, 0.0000, 0.5000)
H (0.5000, 0.5000, 0.5000)
O (0.0000, 0.5000, 0.0000)

Output
Fermi-level density of states   0.943 states/eV/atom
Magnetization   3.0 μB per formula unit
Calculated density   1.44 Mg/m³

=====

Q: Which of them is the least stable? A: B.

=====

## A
First-principles (GGA-PBE) data for a geometry-optimized NaPH2O4 structure, as listed in Alexandria.

Lattice parameters (Å, degrees): 3.9752 5.8514 6.7508 90.00 90.00 90.00
Space group I222 (No. 23)
Inequivalent atoms, fractional coordinates:
Na (0.0000, 0.0000, 0.0000)
P (0.0000, 0.0000, 0.5000)
H (0.0000, 0.5000, 0.1480)
O (0.2485, 0.1319, 0.3607)

Output
Fermi-level density of states   0.000 states/eV/atom
Magnetization   0.0 μB per formula unit
Calculated density   2.54 Mg/m³

=====

## B
First-principles (GGA-PBE) data for a geometry-optimized NaPH2O4 structure, as listed in Alexandria.

Lattice parameters (Å, degrees): 6.8849 13.4835 7.6021 90.00 93.87 90.00
Space group P2_1/c (No. 14)
Inequivalent atoms, fractional coordinates:
Na (0.1348, 0.1004, 0.2373)
Na (0.3610, 0.6004, 0.0092)
P (0.1695, 0.1328, 0.6361)
P (0.3221, 0.6261, 0.5225)
H (0.0127, 0.0968, 0.8683)
H (0.0501, 0.7390, 0.9866)
H (0.4451, 0.2216, 0.8374)
H (0.4981, 0.0335, 0.1499)
O (0.0207, 0.6640, 0.9874)
O (0.0866, 0.0591, 0.7783)
O (0.1055, 0.6515, 0.4830)
O (0.2548, 0.2253, 0.7262)
O (0.2980, 0.0721, 0.5231)
O (0.3531, 0.5446, 0.6612)
O (0.4126, 0.5964, 0.3446)
O (0.4215, 0.7264, 0.5891)

Output
Fermi-level density of states   0.000 states/eV/atom
Magnetization   0.0 μB per formula unit
Calculated density   2.26 Mg/m³

=====

## C
First-principles (GGA-PBE) data for a geometry-optimized NaPH2O4 structure, as listed in Alexandria.

Lattice parameters (Å, degrees): 6.4623 6.7164 9.6643 93.68 103.00 107.69
Space group P-1 (No. 2)
Inequivalent atoms, fractional coordinates:
Na (0.0663, 0.1664, 0.3649)
Na (0.2556, 0.4426, 0.0901)
P (0.2492, 0.7274, 0.4124)
P (0.4888, 0.9047, 0.7127)
H (0.1758, 0.8716, 0.0674)
H (0.2111, 0.7902, 0.9240)
H (0.2162, 0.3423, 0.7742)
H (0.3304, 0.1910, 0.8443)
O (0.0730, 0.8295, 0.4183)
O (0.1442, 0.7403, 0.0031)
O (0.1817, 0.5124, 0.3295)
O (0.3008, 0.1252, 0.2022)
O (0.3036, 0.9118, 0.7814)
O (0.3288, 0.3374, 0.8595)
O (0.3879, 0.7205, 0.5741)
O (0.4544, 0.8794, 0.3578)

Output
Fermi-level density of states   0.000 states/eV/atom
Magnetization   0.1 μB per formula unit
Calculated density   2.07 Mg/m³

=====

Q: Which of them is the least stable? A: A.

=====

## A
First-principles (GGA-PBE) data for a geometry-optimized NaHSO4 structure, as listed in Alexandria.

Lattice parameters (Å, degrees): 5.1591 7.7377 9.4568 90.00 112.57 90.00
Space group P2_1/c (No. 14)
Inequivalent atoms, fractional coordinates:
Na (0.0099, 0.0038, 0.2964)
H (0.3916, 0.5397, 0.6195)
S (0.4056, 0.2234, 0.0611)
O (0.2243, 0.1302, 0.5554)
O (0.2855, 0.0674, 0.1290)
O (0.2998, 0.7467, 0.3362)
O (0.3760, 0.1691, 0.9054)

Output
Fermi-level density of states   0.000 states/eV/atom
Magnetization   0.0 μB per formula unit
Calculated density   2.29 Mg/m³

=====

## B
First-principles (GGA-PBE) data for a geometry-optimized NaHSO4 structure, as listed in Alexandria.

Lattice parameters (Å, degrees): 4.7575 4.7575 6.8961 90.00 90.00 90.00
Space group I-4 (No. 82)
Inequivalent atoms, fractional coordinates:
Na (0.0000, 0.0000, 0.0000)
H (0.0000, 0.0000, 0.5000)
S (0.0000, 0.5000, 0.7500)
O (0.1179, 0.2655, 0.6300)

Output
Fermi-level density of states   0.000 states/eV/atom
Magnetization   0.0 μB per formula unit
Calculated density   2.55 Mg/m³

=====

Q: Which of them is the least stable? A: B.

=====

## A
First-principles (GGA-PBE) data for a geometry-optimized NaH2SO4 structure, as listed in Alexandria.

Lattice parameters (Å, degrees): 4.3355 6.2331 6.3652 90.00 90.00 90.00
Space group I222 (No. 23)
Inequivalent atoms, fractional coordinates:
Na (0.0000, 0.0000, 0.0000)
H (0.0000, 0.5000, 0.1627)
S (0.0000, 0.0000, 0.5000)
O (0.2494, 0.4099, 0.8300)

Output
Fermi-level density of states   0.150 states/eV/atom
Magnetization   0.8 μB per formula unit
Calculated density   2.34 Mg/m³

=====

## B
First-principles (GGA-PBE) data for a geometry-optimized NaH2SO4 structure, as listed in Alexandria.

Lattice parameters (Å, degrees): 6.6019 10.9507 10.6598 90.00 90.00 90.00
Space group Pnma (No. 62)
Inequivalent atoms, fractional coordinates:
Na (0.0673, 0.0606, 0.1560)
H (0.1961, 0.5726, 0.3883)
H (0.2093, 0.1242, 0.7644)
S (0.0171, 0.7500, 0.5869)
S (0.2504, 0.2500, 0.5399)
O (0.0649, 0.2500, 0.2846)
O (0.1251, 0.6369, 0.5545)
O (0.1393, 0.6371, 0.0122)
O (0.1549, 0.2500, 0.6655)
O (0.2426, 0.0474, 0.8084)

Output
Fermi-level density of states   0.000 states/eV/atom
Magnetization   0.0 μB per formula unit
Calculated density   2.09 Mg/m³

=====

Q: Which of them is the least stable? A: A.

=====

## A
First-principles (GGA-PBE) data for a geometry-optimized Na2HOs structure, as listed in Alexandria.

Lattice parameters (Å, degrees): 6.9466 6.9466 6.9466 90.00 90.00 90.00
Space group Fm-3m (No. 225)
Inequivalent atoms, fractional coordinates:
Na (0.2500, 0.2500, 0.2500)
H (0.0000, 0.0000, 0.0000)
Os (0.0000, 0.0000, 0.5000)

Output
Fermi-level density of states   1.166 states/eV/atom
Magnetization   3.0 μB per formula unit
Calculated density   4.70 Mg/m³

=====

## B
First-principles (GGA-PBE) data for a geometry-optimized Na2HOs structure, as listed in Alexandria.

Lattice parameters (Å, degrees): 6.6895 6.6895 6.6126 90.00 90.00 90.00
Space group I-42d (No. 122)
Inequivalent atoms, fractional coordinates:
Na (0.1481, 0.2500, 0.1250)
H (0.0000, 0.0000, 0.0000)
Os (0.0000, 0.0000, 0.5000)

Output
Fermi-level density of states   0.736 states/eV/atom
Magnetization   3.0 μB per formula unit
Calculated density   5.32 Mg/m³

=====

Q: Which of them is the least stable? A: A.

=====

## A
First-principles (GGA-PBE) data for a geometry-optimized NaH2Os structure, as listed in Alexandria.

Lattice parameters (Å, degrees): 5.3669 5.3669 5.3669 90.00 90.00 90.00
Space group Fm-3m (No. 225)
Inequivalent atoms, fractional coordinates:
Na (0.0000, 0.0000, 0.0000)
H (0.2500, 0.2500, 0.2500)
Os (0.0000, 0.0000, 0.5000)

Output
Fermi-level density of states   0.587 states/eV/atom
Magnetization   1.0 μB per formula unit
Calculated density   9.25 Mg/m³

=====

## B
First-principles (GGA-PBE) data for a geometry-optimized NaH2Os structure, as listed in Alexandria.

Lattice parameters (Å, degrees): 5.0304 5.0304 6.6177 90.00 90.00 90.00
Space group I-42d (No. 122)
Inequivalent atoms, fractional coordinates:
Na (0.0000, 0.0000, 0.0000)
H (0.1804, 0.7500, 0.6250)
Os (0.0000, 0.0000, 0.5000)

Output
Fermi-level density of states   0.568 states/eV/atom
Magnetization   0.6 μB per formula unit
Calculated density   8.54 Mg/m³

=====

Q: Which of them is the least stable? A: A.